Material: PuPa2Fe9
Method: DFT, GGA-PBE
State: relaxed

Structure (POSCAR):
```
PuPa2Fe9
1.0
2.415 1.394 8.448
-2.415 1.394 8.448
0.000 -2.789 8.448
Pu Pa Fe
1 2 9
Direct
0.000 0.000 0.000 Pu
0.141 0.141 0.141 Pa
0.859 0.859 0.859 Pa
0.082 0.581 0.581 Fe
0.333 0.333 0.333 Fe
0.419 0.419 0.918 Fe
0.419 0.918 0.419 Fe
0.500 0.500 0.500 Fe
0.581 0.082 0.581 Fe
0.581 0.581 0.082 Fe
0.667 0.667 0.667 Fe
0.918 0.419 0.419 Fe
```

Computed properties:
Spin magnetization in Bohr magnetons per cell: 8.118
DFT total energy in eV/atom: -9.17
Space group: R-3m, No. 166
Calculated formation energy in eV/atom: -0.045